{"formula": "FeHgF5", "functional": "GGA+U", "state": "relaxed", "energy_ev_per_atom": -4.193, "sg": "C2/c (15)", "lattice_angstrom": [[1.0327, 5.4382, -1.2921], [-1.4953, 3.0786, 4.5383], [6.3831, 2.5286, 3.7909]], "species": ["Fe", "Fe", "F", "F", "F", "F", "F", "F", "F", "F", "F", "F", "Hg", "Hg"], "frac_coords": [[0.0000, 0.0000, 0.5000], [0.0000, 0.0000, 0.0000], [0.3047, 0.7306, 0.0117], [0.7306, 0.3047, 0.5117], [0.0399, 0.9601, 0.7500], [0.7397, 0.7933, 0.6205], [0.2603, 0.2067, 0.3795], [0.9601, 0.0399, 0.2500], [0.6953, 0.2694, 0.9883], [0.7933, 0.7397, 0.1205], [0.2694, 0.6953, 0.4883], [0.2067, 0.2603, 0.8795], [0.4716, 0.5284, 0.7500], [0.5284, 0.4716, 0.2500]]}